Below is an optimized crystal structure of KFeI2Cl, with properties calculated at the PBE-GGA level.

E ... -3.309 eV/atom
Distance to the lowest polymorph of the same formula ... 319 meV/atom
Formation energy (no corrections) ... -0.41 eV per atom

a = 5.173 Å, b = 5.173 Å, c = 10.181 Å
α = 90.00°, β = 90.00°, γ = 90.00°
Fractional coordinates of all 5 atoms:
K 0.000 0.000 0.000
Fe 0.000 0.000 0.500
I 0.000 0.500 0.500
I 0.500 0.000 0.500
Cl 0.500 0.500 0.000


Below is an optimized crystal structure of KFeI2Cl, with properties calculated at the PBE-GGA level.

E ... -3.628 eV/atom
Distance to the lowest polymorph of the same formula ... 0 meV/atom
Formation energy (no corrections) ... -0.73 eV per atom

a = 5.823 Å, b = 5.823 Å, c = 4.760 Å
α = 90.00°, β = 90.00°, γ = 90.00°
Fractional coordinates of all 5 atoms:
K 0.000 0.000 0.000
Fe 0.500 0.500 0.500
I 0.000 0.500 0.500
I 0.500 0.000 0.500
Cl 0.500 0.500 0.000


Values of magnetic moment, in order: 0.717; 0.800, all in μB/atom.
Values of theoretical density, in order: 2341; 3953, all in kg/m3.